First-principles (PBE) data for a relaxed TmBe2TlF8 crystal, as listed in Alexandria via LeMat-Bulk.

The structure in POSCAR format:
```
TmBe2TlF8
1.0
2.565 1.481 8.080
-2.565 1.481 8.080
0.000 -2.961 8.080
Tm Be Tl F
1 2 1 8
Cartesian
0.000 0.000 0.000
0.000 0.000 6.190
0.000 0.000 18.050
0.000 0.000 12.120
-1.460 0.148 6.804
0.000 0.000 4.696
0.602 -1.339 6.804
-0.858 -1.191 17.437
0.858 1.191 6.804
-0.602 1.339 17.437
0.000 0.000 19.545
1.460 -0.148 17.437
```

total magnetization	0.000	μB/atom
E_form (uncorrected)	-3.33	eV/atom
Fermi-level density of states	0.00	states/eV per cell
energy	-5.771	eV/atom
V	184	Å³/cell
symmetry	R-3

---

First-principles (PBE) data for a relaxed UPd5Pt2 crystal, as listed in Alexandria via LeMat-Bulk.

The structure in POSCAR format:
```
UPd5Pt2
1.0
5.737 0.000 0.000
0.000 11.279 0.000
0.000 0.000 4.070
U Pd Pt
2 10 4
Cartesian
0.000 0.000 0.000
2.868 5.639 0.000
0.000 5.639 0.000
0.037 2.741 0.000
1.385 7.064 2.035
1.484 1.424 2.035
2.831 8.381 0.000
2.868 0.000 0.000
2.905 2.898 0.000
4.253 9.855 2.035
4.352 4.215 2.035
5.700 8.538 0.000
1.410 9.912 2.035
1.459 4.273 2.035
4.278 7.006 2.035
4.327 1.366 2.035
```

total magnetization	0.001	μB/atom
Fermi-level density of states	7.60	states/eV per cell
energy	-6.611	eV/atom
V	263	Å³/cell
formation energy from the elements	-0.444	eV/atom
symmetry	Pbam

---

First-principles (PBE) data for a relaxed Ca2La2Nd3 crystal, as listed in Alexandria via LeMat-Bulk.

The structure in POSCAR format:
```
Ca2La2Nd3
1.0
5.861 -2.688 0.000
5.861 2.688 0.000
-1.353 0.000 8.233
Ca La Nd
2 2 3
Cartesian
0.520 0.000 1.746
9.850 0.000 6.487
1.680 0.000 5.304
8.690 0.000 2.929
4.007 0.000 0.622
5.185 0.000 4.116
6.363 0.000 7.611
```

total magnetization	0.000	μB/atom
Fermi-level density of states	12.44	states/eV per cell
energy	-3.946	eV/atom
V	259	Å³/cell
formation energy from the elements	0.077	eV/atom
symmetry	C2/m

---

First-principles (PBE) data for a relaxed Mg3Au7 crystal, as listed in Alexandria via LeMat-Bulk.

The structure in POSCAR format:
```
Mg3Au7
1.0
7.543 -2.123 0.000
7.543 2.123 0.000
-1.554 0.000 5.581
Mg Au
3 7
Cartesian
0.000 0.000 0.000
1.988 0.000 3.493
11.544 0.000 2.088
-0.777 0.000 2.790
2.808 0.000 0.718
4.911 0.000 3.818
5.736 0.000 1.051
7.795 0.000 4.530
8.621 0.000 1.763
10.724 0.000 4.863
```

total magnetization	0.000	μB/atom
Fermi-level density of states	2.58	states/eV per cell
energy	-3.209	eV/atom
V	179	Å³/cell
formation energy from the elements	-0.437	eV/atom
symmetry	C2/m

---

First-principles (PBE) data for a relaxed MnSn crystal, as listed in Alexandria via LeMat-Bulk.

The structure in POSCAR format:
```
MnSn
1.0
0.000 2.749 2.749
2.749 0.000 2.749
2.749 2.749 0.000
Mn Sn
1 1
Cartesian
0.000 0.000 0.000
2.749 2.749 2.749
```

total magnetization	1.620	μB/atom
Fermi-level density of states	1.15	states/eV per cell
energy	-6.251	eV/atom
V	42	Å³/cell
formation energy from the elements	0.335	eV/atom
symmetry	Fm-3m

---

First-principles (PBE) data for a relaxed LiSiAs2 crystal, as listed in Alexandria via LeMat-Bulk.

The structure in POSCAR format:
```
LiSiAs2
1.0
-1.763 2.566 3.971
1.763 -2.566 3.971
1.763 2.566 -3.971
Li Si As
1 1 2
Cartesian
0.000 0.000 0.000
0.000 0.000 3.971
1.763 0.000 2.197
0.000 2.566 1.774
```

total magnetization	0.000	μB/atom
E_form (uncorrected)	0.07	eV/atom
Fermi-level density of states	1.89	states/eV per cell
energy	-4.085	eV/atom
V	72	Å³/cell
symmetry	Immm

---

First-principles (PBE) data for a relaxed LiHfTa2S crystal, as listed in Alexandria via LeMat-Bulk.

The structure in POSCAR format:
```
LiHfTa2S
1.0
4.911 0.000 0.000
0.000 4.911 0.000
0.000 0.000 5.035
Li Hf Ta S
1 1 2 1
Cartesian
0.000 0.000 0.000
0.000 0.000 2.517
0.000 2.456 2.517
2.456 0.000 2.517
2.456 2.456 0.000
```

total magnetization	0.000	μB/atom
E_form (uncorrected)	1.83	eV/atom
Fermi-level density of states	6.92	states/eV per cell
energy	-6.109	eV/atom
V	121	Å³/cell
symmetry	P4/mmm

---

First-principles (PBE) data for a relaxed Y2SiNi6B crystal, as listed in Alexandria via LeMat-Bulk.

The structure in POSCAR format:
```
Y2SiNi6B
1.0
4.664 -2.700 0.000
4.664 2.700 0.000
-3.099 0.000 5.620
Y Si Ni B
2 1 6 1
Cartesian
1.557 0.000 0.895
4.673 0.000 4.725
4.664 0.000 0.000
0.122 0.000 3.792
2.281 1.246 3.789
3.948 1.246 1.832
2.281 -1.246 3.789
3.948 -1.246 1.832
6.108 0.000 1.829
-1.549 0.000 2.810
```

total magnetization	0.000	μB/atom
E_form (uncorrected)	-0.52	eV/atom
Fermi-level density of states	6.76	states/eV per cell
energy	-6.493	eV/atom
V	142	Å³/cell
symmetry	C2/m